Record 1
# Na2DyHg7

A geometry-optimized Na2DyHg7 structure (PBE-GGA, the Alexandria database).

CIF file:
```
data_Na2DyHg7
_chemical_formula_sum 'Na2 Dy1 Hg7'
_cell_length_a 5.1412
_cell_length_b 5.1412
_cell_length_c 11.7970
_cell_angle_alpha 90.00
_cell_angle_beta 90.00
_cell_angle_gamma 120.00
_space_group_name_H-M_alt 'P 3 m 1'
_space_group_IT_number 156
_space_group_name_Hall 'P 3 -2"'
loop_
_atom_site_label
_atom_site_fract_x
_atom_site_fract_y
_atom_site_fract_z
Na1 0.0000 0.0000 0.0000
Na2 0.3333 0.6667 0.5941
Dy1 0.6667 0.3333 0.3681
Hg1 0.0000 0.0000 0.2520
Hg2 0.0000 0.0000 0.5006
Hg3 0.0000 0.0000 0.7509
Hg4 0.3333 0.6667 0.2917
Hg5 0.3333 0.6667 0.8896
Hg6 0.6667 0.3333 0.0993
Hg7 0.6667 0.3333 0.6399
```

Properties
Total magnetic moment in μB per atom: 0.0000
V in Å³/f.u.: 270
Calculated total energy in eV per formula unit: -11.2
Energy relative to the elements in eV per atom: -0.186

---

Record 2
# Ho4RuBr5

A geometry-optimized Ho4RuBr5 structure (PBE-GGA, the Alexandria database).

CIF file:
```
data_Ho4RuBr5
_chemical_formula_sum 'Ho32 Ru8 Br40'
_cell_length_a 11.854
_cell_length_b 11.854
_cell_length_c 17.192
_cell_angle_alpha 90.00
_cell_angle_beta 90.00
_cell_angle_gamma 90.00
_space_group_name_H-M_alt 'P 42/n n m'
_space_group_IT_number 134
loop_
_space_group_symop_operation_xyz
'x,y,z'
'-x,-y,-z'
'-y+1/2,x,z+1/2'
'y+1/2,-x,-z+1/2'
'-x+1/2,-y+1/2,z'
'x+1/2,y+1/2,-z'
'y,-x+1/2,z+1/2'
'-y,x+1/2,-z+1/2'
'x,-y+1/2,-z+1/2'
'-x,y+1/2,z+1/2'
'-y+1/2,-x+1/2,-z'
'y+1/2,x+1/2,z'
'-x+1/2,y,-z+1/2'
'x+1/2,-y,z+1/2'
'y,x,-z'
'-y,-x,z'
loop_
_atom_site_label
_atom_site_fract_x
_atom_site_fract_y
_atom_site_fract_z
Ho1 0.077 0.134 0.174
Ho2 0.120 0.620 0.842
Ho3 0.137 0.637 0.524
Ru1 0.148 0.648 0.680
Br1 0.107 0.607 0.340
Br2 0.116 0.116 0.000
Br3 0.126 0.626 0.020
Br4 0.128 0.150 0.663
```

Properties
Total magnetic moment in μB per atom: 0.0000
Formation energy without anion corrections in eV per atom: -1.3936
V in Å³/f.u.: 302
Calculated total energy in eV per formula unit: -49.9

---

Record 3
# HgTe2Br

A geometry-optimized HgTe2Br structure (PBE-GGA, the Alexandria database).

CIF file:
```
data_HgTe2Br
_chemical_formula_sum 'Hg2 Te4 Br2'
_cell_length_a 4.034
_cell_length_b 6.831
_cell_length_c 10.519
_cell_angle_alpha 90.00
_cell_angle_beta 90.00
_cell_angle_gamma 90.00
_space_group_name_H-M_alt 'I m m 2'
_space_group_IT_number 44
_space_group_name_Hall 'I 2 -2'
loop_
_atom_site_label
_atom_site_fract_x
_atom_site_fract_y
_atom_site_fract_z
Hg1 0.000 0.000 0.000
Te1 0.000 0.000 0.472
Te2 0.000 0.500 0.785
Br1 0.000 0.500 0.184
```

Properties
Total magnetic moment in μB per atom: 0.0000
Formation energy without anion corrections in eV per atom: -0.0155
V in Å³/f.u.: 145
Calculated total energy in eV per formula unit: -8.3

---

Record 4
# NdYPd

A geometry-optimized NdYPd structure (PBE-GGA, the Alexandria database).

CIF file:
```
data_NdYPd
_chemical_formula_sum 'Nd2 Y2 Pd2'
_cell_length_a 3.878
_cell_length_b 6.460
_cell_length_c 7.266
_cell_angle_alpha 74.29
_cell_angle_beta 74.55
_cell_angle_gamma 72.61
_space_group_name_H-M_alt 'P -1'
_space_group_IT_number 2
_space_group_name_Hall '-P 1'
loop_
_atom_site_label
_atom_site_fract_x
_atom_site_fract_y
_atom_site_fract_z
Nd1 0.160 0.250 0.431
Y1 0.410 0.299 0.882
Pd1 0.133 0.910 0.824
```

Properties
Total magnetic moment in μB per atom: 0.0000
V in Å³/f.u.: 82
Calculated total energy in eV per formula unit: -18.1
Energy relative to the elements in eV per atom: -0.555

---

Record 5
# Re2AuBr

A geometry-optimized Re2AuBr structure (PBE-GGA, the Alexandria database).

CIF file:
```
data_Re2AuBr
_chemical_formula_sum 'Re4 Au2 Br2'
_cell_length_a 4.260
_cell_length_b 4.260
_cell_length_c 7.435
_cell_angle_alpha 90.00
_cell_angle_beta 90.00
_cell_angle_gamma 90.00
_space_group_name_H-M_alt 'I -4 m 2'
_space_group_IT_number 119
_space_group_name_Hall 'I -4 -2'
loop_
_atom_site_label
_atom_site_fract_x
_atom_site_fract_y
_atom_site_fract_z
Re1 0.000 0.000 0.000
Re2 0.000 0.500 0.250
Au1 0.000 0.500 0.750
Br1 0.000 0.000 0.500
```

Properties
Total magnetic moment in μB per atom: 0.0000
Formation energy without anion corrections in eV per atom: 1.2821
V in Å³/f.u.: 67
Calculated total energy in eV per formula unit: -24.7

---

Record 6
# In6Hg

A geometry-optimized In6Hg structure (PBE-GGA, the Alexandria database).

CIF file:
```
data_In6Hg
_chemical_formula_sum 'In18 Hg3'
_cell_length_a 5.4407
_cell_length_b 5.4407
_cell_length_c 22.2962
_cell_angle_alpha 90.00
_cell_angle_beta 90.00
_cell_angle_gamma 120.00
_space_group_name_H-M_alt 'R -3 m'
_space_group_IT_number 166
_space_group_name_Hall '-R 3 2"'
loop_
_atom_site_label
_atom_site_fract_x
_atom_site_fract_y
_atom_site_fract_z
In1 0.0000 0.0000 0.0701
In2 0.0000 0.0000 0.2135
In3 0.0000 0.0000 0.3577
Hg1 0.0000 0.0000 0.5000
```

Properties
Total magnetic moment in μB per atom: 0.0000
V in Å³/f.u.: 191
Calculated total energy in eV per formula unit: -16.6
Energy relative to the elements in eV per atom: 0.016

---

Among the records above, which one has the highest calculated total energy? HgTe2Br

---

Which of these has the highest V? Ho4RuBr5

---

What is the calculated total energy in the first record? -11.2 eV per formula unit